[1]
Computed, not measured: an optimized crystal structure of PaBiTeO6 at the PBE-GGA level of DFT.

abc: 5.8245 5.8245 9.7622
angles: 90.00 90.00 120.00
Space group P-31c (No. 163)
Inequivalent atoms, fractional coordinates:
Pa1 0.3333 0.6667 0.2500
Bi1 0.0000 0.0000 0.0000
Te1 0.3333 0.6667 0.7500
O1 0.0010 0.3498 0.1359

Results
* DOS(E_F): 0.00 states/eV/cell



[2]
Computed, not measured: an optimized crystal structure of PaBi2TeO8 at the PBE-GGA level of DFT.

abc: 5.218 7.004 5.219
angles: 90.00 90.95 90.00
Space group P2/m (No. 10)
Inequivalent atoms, fractional coordinates:
Pa1 0.000 0.000 0.000
Bi1 0.500 0.258 0.500
Te1 0.000 0.500 0.000
O1 0.179 0.264 0.820
O2 0.278 0.500 0.277
O3 0.287 0.000 0.286

Results
* DOS(E_F): 2.77 states/eV/cell



[3]
Computed, not measured: an optimized crystal structure of PaBiTe2O8 at the PBE-GGA level of DFT.

abc: 7.357 7.357 7.234
angles: 90.00 90.00 90.00
Space group I-4m2 (No. 119)
Inequivalent atoms, fractional coordinates:
Pa1 0.000 0.000 0.000
Bi1 0.000 0.500 0.250
Te1 0.000 0.000 0.500
Te2 0.000 0.500 0.750
O1 0.000 0.180 0.285
O2 0.000 0.302 0.947



The calculation returns the following final energy values, one per record and in order: -128.23; -81.41; -156.66 eV per cell.
The calculation returns the following formation energy without anion corrections values, one per record and in order: -1.983; -1.779; -1.584 eV/atom.